# 1
# ZrBiBI2 GGA-PBEsol relaxed
data_ZrBiBI2
_chemical_formula_sum 'Zr1 Bi1 B1 I2'
_symmetry_space_group_name_H-M 'P 1'
_symmetry_Int_Tables_number 1
_cell_length_a 4.844
_cell_length_b 4.844
_cell_length_c 5.133
_cell_angle_alpha 90.00
_cell_angle_beta 90.00
_cell_angle_gamma 90.00
loop_
_symmetry_equiv_pos_as_xyz
'x,y,z'
loop_
_atom_site_label
_atom_site_fract_x
_atom_site_fract_y
_atom_site_fract_z
I1 0.000 0.500 0.000
I2 0.500 0.000 0.000
B1 0.000 0.000 0.000
Bi1 0.000 0.000 0.500
Zr1 0.500 0.500 0.500
# - formation energy from raw total energies (eV per atom) = 0.783
# - crystal system = tetragonal
# - DOS(E_F) (states/eV/f.u.) = 3.562
# - total magnetization (μB/f.u.) = 0.8

# 2
# Re2BiBIr GGA-PBEsol relaxed
data_Re2BiBIr
_chemical_formula_sum 'Re2 Bi1 B1 Ir1'
_symmetry_space_group_name_H-M 'P 1'
_symmetry_Int_Tables_number 1
_cell_length_a 4.142
_cell_length_b 4.956
_cell_length_c 4.956
_cell_angle_alpha 90.00
_cell_angle_beta 90.00
_cell_angle_gamma 90.00
loop_
_symmetry_equiv_pos_as_xyz
'x,y,z'
loop_
_atom_site_label
_atom_site_fract_x
_atom_site_fract_y
_atom_site_fract_z
Re1 0.000 0.000 0.500
Re2 0.000 0.500 0.000
B1 0.500 0.000 0.000
Ir1 0.500 0.500 0.500
Bi1 0.000 0.000 0.000
# - crystal system = tetragonal
# - raw total energy (eV/atom) = -5.947
# - DOS(E_F) (states/eV/f.u.) = 9.170
# - total magnetization (μB/f.u.) = 1.8

# 3
# KBi3B GGA-PBEsol relaxed
data_KBi3B
_chemical_formula_sum 'K1 Bi3 B1'
_symmetry_space_group_name_H-M 'P 1'
_symmetry_Int_Tables_number 1
_cell_length_a 5.774
_cell_length_b 5.774
_cell_length_c 5.774
_cell_angle_alpha 90.00
_cell_angle_beta 90.00
_cell_angle_gamma 90.00
loop_
_symmetry_equiv_pos_as_xyz
'x,y,z'
loop_
_atom_site_label
_atom_site_fract_x
_atom_site_fract_y
_atom_site_fract_z
K1 0.000 0.000 0.000
B1 0.500 0.500 0.500
Bi1 0.000 0.500 0.000
Bi2 0.000 0.000 0.500
Bi3 0.500 0.000 0.000
# - crystal system = cubic
# - raw total energy (eV/atom) = -2.131
# - DOS(E_F) (states/eV/f.u.) = 5.726
# - total magnetization (μB/f.u.) = 0.0

# 4
# KMn2BiB GGA-PBEsol relaxed
data_KMn2BiB
_chemical_formula_sum 'K1 Mn2 Bi1 B1'
_symmetry_space_group_name_H-M 'P 1'
_symmetry_Int_Tables_number 1
_cell_length_a 5.007
_cell_length_b 5.148
_cell_length_c 5.148
_cell_angle_alpha 90.00
_cell_angle_beta 90.00
_cell_angle_gamma 90.00
loop_
_symmetry_equiv_pos_as_xyz
'x,y,z'
loop_
_atom_site_label
_atom_site_fract_x
_atom_site_fract_y
_atom_site_fract_z
K1 0.500 0.500 0.500
Mn1 0.000 0.000 0.500
Mn2 0.000 0.500 0.000
Bi1 0.000 0.000 0.000
B1 0.500 0.000 0.000
# - crystal system = tetragonal
# - raw total energy (eV/atom) = -4.771
# - DOS(E_F) (states/eV/f.u.) = 4.281
# - total magnetization (μB/f.u.) = 7.2

# 5
# KBiB2Sb GGA-PBEsol relaxed
data_KBiB2Sb
_chemical_formula_sum 'K1 Bi1 B2 Sb1'
_symmetry_space_group_name_H-M 'P 1'
_symmetry_Int_Tables_number 1
_cell_length_a 4.731
_cell_length_b 4.731
_cell_length_c 5.953
_cell_angle_alpha 90.00
_cell_angle_beta 90.00
_cell_angle_gamma 90.00
loop_
_symmetry_equiv_pos_as_xyz
'x,y,z'
loop_
_atom_site_label
_atom_site_fract_x
_atom_site_fract_y
_atom_site_fract_z
Sb1 0.000 0.000 0.000
K1 0.500 0.500 0.500
B1 0.000 0.500 0.000
B2 0.500 0.000 0.000
Bi1 0.000 0.000 0.500
# - formation energy from raw total energies (eV per atom) = 1.440
# - crystal system = tetragonal
# - DOS(E_F) (states/eV/f.u.) = 3.738
# - total magnetization (μB/f.u.) = 0.0

# 6
# LiBiB2O5 GGA-PBEsol relaxed
data_LiBiB2O5
_chemical_formula_sum 'Li4 Bi4 B8 O20'
_symmetry_space_group_name_H-M 'P 1'
_symmetry_Int_Tables_number 1
_cell_length_a 6.892
_cell_length_b 6.859
_cell_length_c 10.891
_cell_angle_alpha 90.00
_cell_angle_beta 90.00
_cell_angle_gamma 108.98
loop_
_symmetry_equiv_pos_as_xyz
'x,y,z'
loop_
_atom_site_label
_atom_site_fract_x
_atom_site_fract_y
_atom_site_fract_z
Li1 0.625 0.198 0.510
Li2 0.125 0.198 0.990
Li3 0.875 0.802 0.010
Li4 0.375 0.802 0.490
Bi1 0.776 0.246 0.175
Bi2 0.276 0.246 0.325
Bi3 0.724 0.754 0.675
Bi4 0.224 0.754 0.825
B1 0.685 0.080 0.906
B2 0.185 0.080 0.594
B3 0.768 0.463 0.925
B4 0.732 0.537 0.425
B5 0.268 0.463 0.575
B6 0.232 0.537 0.075
B7 0.815 0.920 0.406
B8 0.315 0.920 0.094
O1 0.932 0.088 0.341
O2 0.816 0.063 0.998
O3 0.432 0.088 0.159
O4 0.316 0.063 0.502
O5 0.675 0.272 0.872
O6 0.648 0.368 0.350
O7 0.175 0.272 0.628
O8 0.779 0.501 0.049
O9 0.148 0.368 0.150
O10 0.721 0.499 0.549
O11 0.279 0.501 0.451
O12 0.852 0.632 0.850
O13 0.221 0.499 0.951
O14 0.825 0.728 0.372
O15 0.352 0.632 0.650
O16 0.325 0.728 0.128
O17 0.684 0.937 0.498
O18 0.568 0.912 0.841
O19 0.184 0.937 0.002
O20 0.068 0.912 0.659
# - formation energy from raw total energies (eV per atom) = -2.051
# - crystal system = monoclinic
# - DOS(E_F) (states/eV/f.u.) = 0.000
# - total magnetization (μB/f.u.) = 0.0
# - energy relative to the lowest polymorph listed for this composition (eV per formula unit) = 0.39

# 7
# Li5Bi2B4O12 GGA-PBEsol relaxed
data_Li5Bi2B4O12
_chemical_formula_sum 'Li10 Bi4 B8 O24'
_symmetry_space_group_name_H-M 'P 1'
_symmetry_Int_Tables_number 1
_cell_length_a 6.352
_cell_length_b 8.760
_cell_length_c 10.039
_cell_angle_alpha 113.81
_cell_angle_beta 90.00
_cell_angle_gamma 90.00
loop_
_symmetry_equiv_pos_as_xyz
'x,y,z'
loop_
_atom_site_label
_atom_site_fract_x
_atom_site_fract_y
_atom_site_fract_z
Li1 0.980 0.877 0.488
Li2 0.480 0.614 0.020
Li3 0.483 0.720 0.548
Li4 0.967 0.800 0.957
Li5 0.517 0.220 0.048
Li6 0.177 0.542 0.835
Li7 0.033 0.300 0.457
Li8 0.020 0.377 0.988
Li9 0.823 0.042 0.335
Li10 0.520 0.114 0.520
Bi1 0.232 0.990 0.794
Bi2 0.768 0.490 0.294
Bi3 0.714 0.516 0.703
Bi4 0.286 0.016 0.203
B1 0.081 0.718 0.177
B2 0.597 0.780 0.316
B3 0.569 0.834 0.894
B4 0.072 0.662 0.611
B5 0.431 0.334 0.394
B6 0.928 0.162 0.111
B7 0.919 0.218 0.677
B8 0.403 0.280 0.816
O1 0.552 0.936 0.317
O2 0.049 0.873 0.292
O3 0.186 0.719 0.054
O4 0.701 0.773 0.435
O5 0.551 0.630 0.204
O6 0.477 0.982 0.986
O7 0.183 0.767 0.564
O8 0.014 0.569 0.175
O9 0.536 0.781 0.747
O10 0.055 0.694 0.757
O11 0.682 0.734 0.945
O12 0.963 0.526 0.514
O13 0.523 0.482 0.486
O14 0.817 0.267 0.064
O15 0.464 0.281 0.247
O16 0.945 0.194 0.257
O17 0.448 0.436 0.817
O18 0.318 0.234 0.445
O19 0.037 0.026 0.014
O20 0.951 0.373 0.792
O21 0.814 0.219 0.554
O22 0.299 0.273 0.935
O23 0.449 0.130 0.704
O24 0.986 0.069 0.675
# - formation energy from raw total energies (eV per atom) = -2.046
# - crystal system = monoclinic
# - DOS(E_F) (states/eV/f.u.) = 5.262
# - total magnetization (μB/f.u.) = 0.0

# 8
# Li3Bi2B3O9 GGA-PBEsol relaxed
data_Li3Bi2B3O9
_chemical_formula_sum 'Li12 Bi8 B12 O36'
_symmetry_space_group_name_H-M 'P 1'
_symmetry_Int_Tables_number 1
_cell_length_a 5.777
_cell_length_b 8.966
_cell_length_c 13.934
_cell_angle_alpha 90.00
_cell_angle_beta 90.00
_cell_angle_gamma 103.60
loop_
_symmetry_equiv_pos_as_xyz
'x,y,z'
loop_
_atom_site_label
_atom_site_fract_x
_atom_site_fract_y
_atom_site_fract_z
Li1 0.076 0.510 0.664
Li2 0.729 0.289 0.713
Li3 0.771 0.211 0.213
Li4 0.316 0.286 0.624
Li5 0.184 0.214 0.124
Li6 0.576 0.010 0.836
Li7 0.424 0.990 0.164
Li8 0.816 0.786 0.876
Li9 0.684 0.714 0.376
Li10 0.229 0.789 0.787
Li11 0.271 0.711 0.287
Li12 0.924 0.490 0.336
Bi1 0.695 0.355 0.991
Bi2 0.368 0.324 0.344
Bi3 0.805 0.145 0.491
Bi4 0.132 0.176 0.844
Bi5 0.868 0.824 0.156
Bi6 0.195 0.855 0.509
Bi7 0.632 0.676 0.656
Bi8 0.305 0.645 0.009
B1 0.600 0.485 0.181
B2 0.748 0.480 0.516
B3 0.084 0.464 0.163
B4 0.752 0.020 0.016
B5 0.900 0.015 0.681
B6 0.584 0.964 0.337
B7 0.416 0.036 0.663
B8 0.100 0.985 0.319
B9 0.248 0.980 0.984
B10 0.916 0.536 0.837
B11 0.252 0.520 0.484
B12 0.400 0.515 0.819
O1 0.741 0.432 0.610
O2 0.732 0.379 0.440
O3 0.530 0.327 0.169
O4 0.069 0.401 0.070
O5 0.854 0.378 0.833
O6 0.350 0.453 0.729
O7 0.376 0.422 0.900
O8 0.048 0.368 0.241
O9 0.232 0.365 0.501
O10 0.646 0.122 0.333
O11 0.970 0.173 0.669
O12 0.768 0.121 0.940
O13 0.759 0.068 0.110
O14 0.268 0.135 0.001
O15 0.452 0.132 0.741
O16 0.124 0.078 0.400
O17 0.150 0.047 0.229
O18 0.431 0.099 0.570
O19 0.569 0.901 0.430
O20 0.850 0.953 0.771
O21 0.876 0.922 0.600
O22 0.548 0.868 0.259
O23 0.732 0.865 0.999
O24 0.241 0.932 0.890
O25 0.232 0.879 0.060
O26 0.030 0.827 0.331
O27 0.354 0.878 0.667
O28 0.768 0.635 0.499
O29 0.952 0.632 0.759
O30 0.624 0.578 0.100
O31 0.650 0.547 0.271
O32 0.146 0.622 0.167
O33 0.931 0.599 0.930
O34 0.470 0.673 0.831
O35 0.268 0.621 0.560
O36 0.259 0.568 0.390
# - formation energy from raw total energies (eV per atom) = -2.039
# - crystal system = monoclinic
# - DOS(E_F) (states/eV/f.u.) = 0.000
# - total magnetization (μB/f.u.) = 0.0

# 9
# Li3BiB4O9 GGA-PBEsol relaxed
data_Li3BiB4O9
_chemical_formula_sum 'Li6 Bi2 B8 O18'
_symmetry_space_group_name_H-M 'P 1'
_symmetry_Int_Tables_number 1
_cell_length_a 5.685
_cell_length_b 7.431
_cell_length_c 8.290
_cell_angle_alpha 90.00
_cell_angle_beta 90.00
_cell_angle_gamma 109.26
loop_
_symmetry_equiv_pos_as_xyz
'x,y,z'
loop_
_atom_site_label
_atom_site_fract_x
_atom_site_fract_y
_atom_site_fract_z
Li1 0.191 0.243 0.522
Li2 0.191 0.243 0.978
Li3 0.445 0.525 0.250
Li4 0.555 0.475 0.750
Li5 0.809 0.757 0.022
Li6 0.809 0.757 0.478
Bi1 0.370 0.953 0.250
Bi2 0.630 0.047 0.750
B1 0.012 0.275 0.250
B2 0.093 0.435 0.750
B3 0.293 0.685 0.544
B4 0.293 0.685 0.956
B5 0.707 0.315 0.044
B6 0.707 0.315 0.456
B7 0.907 0.565 0.250
B8 0.988 0.725 0.750
O1 0.152 0.793 0.897
O2 0.152 0.793 0.603
O3 0.100 0.484 0.250
O4 0.017 0.229 0.750
O5 0.264 0.507 0.606
O6 0.264 0.507 0.894
O7 0.221 0.211 0.250
O8 0.472 0.765 0.069
O9 0.472 0.765 0.431
O10 0.528 0.235 0.569
O11 0.528 0.235 0.931
O12 0.779 0.789 0.750
O13 0.736 0.493 0.106
O14 0.736 0.493 0.394
O15 0.983 0.771 0.250
O16 0.900 0.516 0.750
O17 0.848 0.207 0.103
O18 0.848 0.207 0.397
# - formation energy from raw total energies (eV per atom) = -2.219
# - crystal system = monoclinic
# - DOS(E_F) (states/eV/f.u.) = 0.000
# - total magnetization (μB/f.u.) = 0.0

# 10
# Li3BiB2O6 GGA-PBEsol relaxed
data_Li3BiB2O6
_chemical_formula_sum 'Li12 Bi4 B8 O24'
_symmetry_space_group_name_H-M 'P 1'
_symmetry_Int_Tables_number 1
_cell_length_a 5.127
_cell_length_b 8.917
_cell_length_c 10.527
_cell_angle_alpha 90.00
_cell_angle_beta 86.10
_cell_angle_gamma 90.00
loop_
_symmetry_equiv_pos_as_xyz
'x,y,z'
loop_
_atom_site_label
_atom_site_fract_x
_atom_site_fract_y
_atom_site_fract_z
Li1 0.194 0.029 0.707
Li2 0.175 0.324 0.646
Li3 0.187 0.997 0.077
Li4 0.325 0.824 0.854
Li5 0.313 0.497 0.423
Li6 0.306 0.529 0.793
Li7 0.694 0.471 0.207
Li8 0.687 0.503 0.577
Li9 0.675 0.176 0.146
Li10 0.813 0.003 0.923
Li11 0.825 0.676 0.354
Li12 0.806 0.971 0.293
Bi1 0.204 0.618 0.093
Bi2 0.296 0.118 0.407
Bi3 0.704 0.882 0.593
Bi4 0.796 0.382 0.907
B1 0.172 0.680 0.614
B2 0.220 0.294 0.149
B3 0.328 0.180 0.886
B4 0.280 0.794 0.351
B5 0.720 0.206 0.649
B6 0.672 0.820 0.114
B7 0.780 0.706 0.851
B8 0.828 0.320 0.386
O1 0.032 0.662 0.874
O2 0.083 0.332 0.424
O3 0.177 0.053 0.889
O4 0.072 0.890 0.377
O5 0.222 0.651 0.307
O6 0.237 0.321 0.848
O7 0.263 0.821 0.652
O8 0.278 0.151 0.193
O9 0.428 0.390 0.123
O10 0.323 0.553 0.611
O11 0.468 0.162 0.626
O12 0.417 0.832 0.076
O13 0.583 0.168 0.924
O14 0.532 0.838 0.374
O15 0.677 0.447 0.389
O16 0.572 0.610 0.877
O17 0.722 0.849 0.807
O18 0.737 0.179 0.348
O19 0.763 0.679 0.152
O20 0.778 0.349 0.693
O21 0.928 0.110 0.623
O22 0.823 0.947 0.111
O23 0.917 0.668 0.576
O24 0.968 0.338 0.126
# - formation energy from raw total energies (eV per atom) = -2.098
# - crystal system = monoclinic
# - DOS(E_F) (states/eV/f.u.) = 0.000
# - total magnetization (μB/f.u.) = 0.0
# - energy relative to the lowest polymorph listed for this composition (eV per formula unit) = 0.00

# 11
# Li7BiB2O8 GGA-PBEsol relaxed
data_Li7BiB2O8
_chemical_formula_sum 'Li14 Bi2 B4 O16'
_symmetry_space_group_name_H-M 'P 1'
_symmetry_Int_Tables_number 1
_cell_length_a 6.300
_cell_length_b 7.428
_cell_length_c 7.927
_cell_angle_alpha 91.51
_cell_angle_beta 113.42
_cell_angle_gamma 90.00
loop_
_symmetry_equiv_pos_as_xyz
'x,y,z'
loop_
_atom_site_label
_atom_site_fract_x
_atom_site_fract_y
_atom_site_fract_z
Li1 0.323 0.371 0.137
Li2 0.814 0.371 0.137
Li3 0.075 0.723 0.150
Li4 0.644 0.152 0.288
Li5 0.431 0.875 0.363
Li6 0.932 0.875 0.363
Li7 0.068 0.125 0.637
Li8 0.569 0.125 0.637
Li9 0.356 0.848 0.712
Li10 0.925 0.277 0.850
Li11 0.677 0.629 0.863
Li12 0.186 0.629 0.863
Li13 0.000 0.000 0.000
Li14 0.500 0.000 0.000
Bi1 0.268 0.441 0.536
Bi2 0.732 0.559 0.464
B1 0.571 0.734 0.143
B2 0.139 0.157 0.277
B3 0.861 0.843 0.723
B4 0.429 0.266 0.857
O1 0.526 0.259 0.052
O2 0.050 0.245 0.101
O3 0.415 0.628 0.222
O4 0.807 0.628 0.222
O5 0.619 0.910 0.237
O6 0.133 0.964 0.266
O7 0.392 0.231 0.392
O8 0.000 0.231 0.392
O9 0.000 0.769 0.608
O10 0.608 0.769 0.608
O11 0.867 0.036 0.734
O12 0.381 0.090 0.763
O13 0.193 0.372 0.778
O14 0.585 0.372 0.778
O15 0.950 0.755 0.899
O16 0.474 0.741 0.948
# - formation energy from raw total energies (eV per atom) = -2.026
# - crystal system = monoclinic
# - DOS(E_F) (states/eV/f.u.) = 0.000
# - total magnetization (μB/f.u.) = 0.0

# 12
# Li2Bi2B2O7 GGA-PBEsol relaxed
data_Li2Bi2B2O7
_chemical_formula_sum 'Li6 Bi6 B6 O21'
_symmetry_space_group_name_H-M 'P 1'
_symmetry_Int_Tables_number 1
_cell_length_a 7.670
_cell_length_b 8.375
_cell_length_c 8.375
_cell_angle_alpha 118.61
_cell_angle_beta 90.75
_cell_angle_gamma 89.25
loop_
_symmetry_equiv_pos_as_xyz
'x,y,z'
loop_
_atom_site_label
_atom_site_fract_x
_atom_site_fract_y
_atom_site_fract_z
Li1 0.735 0.670 0.326
Li2 0.748 0.010 0.977
Li3 0.252 0.977 0.010
Li4 0.193 0.673 0.345
Li5 0.265 0.326 0.670
Li6 0.807 0.345 0.673
Bi1 0.005 0.358 0.047
Bi2 0.466 0.263 0.991
Bi3 0.995 0.047 0.358
Bi4 0.534 0.991 0.263
Bi5 0.500 0.702 0.702
Bi6 0.000 0.598 0.598
B1 0.286 0.641 0.016
B2 0.306 0.345 0.361
B3 0.185 0.991 0.685
B4 0.714 0.016 0.641
B5 0.694 0.361 0.345
B6 0.815 0.685 0.991
O1 0.242 0.251 0.182
O2 0.237 0.529 0.091
O3 0.611 0.435 0.248
O4 0.264 0.826 0.123
O5 0.781 0.787 0.175
O6 0.287 0.532 0.465
O7 0.957 0.561 0.326
O8 0.500 0.004 0.004
O9 0.126 0.919 0.507
O10 0.637 0.849 0.558
O11 0.758 0.182 0.251
O12 0.763 0.091 0.529
O13 0.389 0.248 0.435
O14 0.214 0.875 0.757
O15 0.736 0.123 0.826
O16 0.219 0.175 0.787
O17 0.713 0.465 0.532
O18 0.043 0.326 0.561
O19 0.874 0.507 0.919
O20 0.363 0.558 0.849
O21 0.786 0.757 0.875
# - formation energy from raw total energies (eV per atom) = -1.909
# - crystal system = monoclinic
# - DOS(E_F) (states/eV/f.u.) = 0.000
# - total magnetization (μB/f.u.) = 0.0
# - energy relative to the lowest polymorph listed for this composition (eV per formula unit) = 0.00

Record-wise theoretical density values, in g/cm3: 7.79 12.80 5.84 4.62 4.88 4.33 4.47 5.83 4.19 4.81 3.97 5.97